# 1
A plane-wave DFT calculation with SCAN was carried out for a crystal of KLiTc relaxed with PBEsol.

## Properties
Space-group type = F-43m, No. 216
D(E_F) = 0.83 states/eV/atom
Total energy = -13.48 eV per atom

abc: 5.016 5.016 5.016
angles: 60.00 60.00 60.00
Positions (direct):
K1 0.000 0.000 0.000
Li1 0.750 0.750 0.750
Tc1 0.250 0.250 0.250

=====

# 2
A plane-wave DFT calculation with SCAN was carried out for a crystal of Mg8Sb relaxed with PBEsol.

## Properties
Space-group type = I4/mmm, No. 139
D(E_F) = 0.45 states/eV/atom
Total energy = -8.61 eV per atom

abc: 7.132 7.132 7.132
angles: 95.57 95.57 143.71
Positions (direct):
Mg1 0.000 0.335 0.335
Mg2 0.000 0.665 0.665
Mg3 0.331 0.331 0.663
Mg4 0.331 0.669 0.000
Mg5 0.335 0.000 0.335
Mg6 0.665 0.000 0.665
Mg7 0.669 0.331 0.000
Mg8 0.669 0.669 0.337
Sb1 0.000 0.000 0.000

=====

# 3
A plane-wave DFT calculation with SCAN was carried out for a crystal of Zr3TlW relaxed with PBEsol.

## Properties
Space-group type = Pm-3m, No. 221
D(E_F) = 1.35 states/eV/atom
Total energy = -46.17 eV per atom

abc: 5.035 5.035 5.035
angles: 90.00 90.00 90.00
Positions (direct):
Zr1 0.000 0.000 0.500
Zr2 0.000 0.500 0.000
Zr3 0.500 0.000 0.000
Tl1 0.500 0.500 0.500
W1 0.000 0.000 0.000

=====

# 4
A plane-wave DFT calculation with SCAN was carried out for a crystal of TlSbPb relaxed with PBEsol.

## Properties
Space-group type = Fmm2, No. 42
Offset from the most stable computed form = 74 meV per atom
D(E_F) = 0.46 states/eV/atom
Total energy = -61.72 eV per atom

abc: 8.203 8.020 3.379
angles: 81.03 74.96 24.01
Positions (direct):
Tl1 0.000 0.000 0.000
Sb1 0.336 0.336 0.664
Pb1 0.678 0.678 0.322